Entry 1:
Crystalline As2RuAu at its relaxed geometry. Source: the Alexandria database, functional GGA-PBE.

Summary:
Distance to the lowest polymorph of the same formula (meV/atom): 244
Magnetic moment (μB per formula unit): 0.00
E_form (eV/atom): 0.29

abc: 4.5485 4.5485 3.2379
angles: 90.00 90.00 90.00
With the nearest neighbours (Å) after each atom.
Space group P4/mmm (No. 123)
Inequivalent atoms, fractional coordinates:
As  0.0000  0.5000  0.0000 (multiplicity 2)  4 Ru 2.79, 4 Au 2.79
Ru  0.0000  0.0000  0.5000 (multiplicity 1)  8 As 2.79
Au  0.5000  0.5000  0.5000 (multiplicity 1)  8 As 2.79

Entry 2:
Crystalline As2RuAu at its relaxed geometry. Source: the Alexandria database, functional GGA-PBE.

Summary:
Distance to the lowest polymorph of the same formula (meV/atom): 118
Magnetic moment (μB per formula unit): 0.00
E_form (eV/atom): 0.16

abc: 2.9032 4.6969 11.1985
angles: 90.00 90.00 90.00
With the nearest neighbours (Å) after each atom.
Space group Immm (No. 71)
Inequivalent atoms, fractional coordinates:
As  0.0000  0.0000  0.1812 (multiplicity 4)  2 Ru 2.50
Ru  0.0000  0.5000  0.5000 (multiplicity 2)  4 As 2.50, 4 Au 2.76
Au  0.0000  0.5000  0.0000 (multiplicity 2)  4 Ru 2.76, 2 Au 2.90

Entry 3:
Crystalline AsRuAu at its relaxed geometry. Source: the Alexandria database, functional GGA-PBE.

Summary:
Distance to the lowest polymorph of the same formula (meV/atom): 148
Magnetic moment (μB per formula unit): 0.00
E_form (eV/atom): 0.26

abc: 6.0654 6.0654 6.0654
angles: 90.00 90.00 90.00
With the nearest neighbours (Å) after each atom.
Space group F-43m (No. 216)
Inequivalent atoms, fractional coordinates:
As  0.0000  0.0000  0.0000 (multiplicity 4)  4 Ru 2.63
Ru  0.2500  0.2500  0.7500 (multiplicity 4)  4 As 2.63, 4 Au 2.63
Au  0.0000  0.0000  0.5000 (multiplicity 4)  4 Ru 2.63